Na2CeTiF8 (PBE, optimized geometry); formation energy without anion corrections = -3.308 eV/atom; space group = P2/m (10); VASP energy = -5.928 eV/atom
1.0
-0.816 -2.314 -2.905
1.181 -4.378 3.195
-7.173 -0.294 2.249
Na Ce Ti F
2 1 1 8
Cartesian
-5.377 -3.574 1.888
-1.431 -3.412 0.650
-3.586 -0.147 1.124
0.000 0.000 0.000
-0.730 -3.466 2.975
0.520 -4.630 1.054
-2.186 -3.360 -1.657
-6.078 -3.520 -0.437
-7.328 -2.356 1.484
-4.622 -3.625 4.195
-3.107 -4.592 2.073
-3.701 -2.394 0.466